Record 1
NaLi6NbO6 | PBE-GGA | relaxed

Lattice parameters (Å, degrees): 5.2838 5.2838 5.2838 101.14 101.14 101.14
With the nearest neighbours (Å) after each atom.
Atoms (fractional coordinates):
1 Li 0.6556 0.3444 0.0000  4 O 1.92-1.94
2 Li 0.3444 0.6556 0.0000  4 O 1.92-1.94
3 Li 0.6556 0.0000 0.3444  4 O 1.92-1.94
4 Li 0.0000 0.6556 0.3444  4 O 1.92-1.94
5 Li 0.3444 0.0000 0.6556  4 O 1.92-1.94
6 Li 0.0000 0.3444 0.6556  4 O 1.92-1.94
7 Na 0.5000 0.5000 0.5000  12 Li 2.93, 12 O 3.00-3.02
8 Nb 0.0000 0.0000 0.0000  6 O 2.03
9 O 0.7245 0.7245 0.0845  4 Li 1.92-1.94, 1 Nb 2.03
10 O 0.9155 0.2755 0.2755  4 Li 1.92-1.94, 1 Nb 2.03
11 O 0.2755 0.9155 0.2755  4 Li 1.92-1.94, 1 Nb 2.03
12 O 0.7245 0.0845 0.7245  4 Li 1.92-1.94, 1 Nb 2.03
13 O 0.0845 0.7245 0.7245  4 Li 1.92-1.94, 1 Nb 2.03
14 O 0.2755 0.2755 0.9155  4 Li 1.92-1.94, 1 Nb 2.03

Computed properties:
V	9.8	Å³/atom
VASP energy	-5.83	eV per atom

Record 2
KDy4Nb2 | PBE-GGA | relaxed

Lattice parameters (Å, degrees): 7.8353 7.8353 3.2108 90.00 90.00 90.00
With the nearest neighbours (Å) after each atom.
Atoms (fractional coordinates):
1 Dy 0.2937 0.2937 0.4061  4 Nb 3.10-3.40, 4 Dy 3.21-3.29
2 Dy 0.7063 0.7063 0.4061  4 Nb 3.10-3.40, 4 Dy 3.21-3.29
3 Dy 0.7063 0.2937 0.5939  4 Nb 3.10-3.40, 4 Dy 3.21-3.29
4 Dy 0.2937 0.7063 0.5939  4 Nb 3.10-3.40, 4 Dy 3.21-3.29
5 K 0.0000 0.0000 0.0000  2 K 3.21, 4 Dy 3.51
6 Nb 0.5000 0.0000 0.0000  8 Dy 3.10-3.40, 2 Nb 3.21
7 Nb 0.0000 0.5000 0.0000  8 Dy 3.10-3.40, 2 Nb 3.21

Computed properties:
V	28.2	Å³/atom
VASP energy	-5.11	eV per atom

Record 3
Al7CoCu2 | PBE-GGA | relaxed

Lattice parameters (Å, degrees): 6.2929 6.2929 14.7327 90.00 90.00 90.00
With the nearest neighbours (Å) after each atom.
Atoms (fractional coordinates):
1 Al 0.5864 0.2042 0.0999  1 Co 2.45, 3 Cu 2.54-2.57, 3 Al 2.70-2.74
2 Al 0.2042 0.4136 0.0999  1 Co 2.45, 3 Cu 2.54-2.57, 3 Al 2.70-2.74
3 Al 0.7958 0.5864 0.0999  1 Co 2.45, 3 Cu 2.54-2.57, 3 Al 2.70-2.74
4 Al 0.4136 0.7958 0.0999  1 Co 2.45, 3 Cu 2.54-2.57, 3 Al 2.70-2.74
5 Al 0.0000 0.0000 0.1318  1 Co 2.45, 4 Cu 2.65
6 Al 0.3454 0.1546 0.2500  2 Co 2.48, 3 Al 2.70-2.75
7 Al 0.8454 0.3454 0.2500  2 Co 2.48, 3 Al 2.70-2.75
8 Al 0.1546 0.6546 0.2500  2 Co 2.48, 3 Al 2.70-2.75
9 Al 0.6546 0.8454 0.2500  2 Co 2.48, 3 Al 2.70-2.75
10 Al 0.5000 0.5000 0.3682  1 Co 2.45, 4 Cu 2.65
11 Al 0.7042 0.0864 0.4001  1 Co 2.45, 3 Cu 2.54-2.57, 3 Al 2.70-2.74
12 Al 0.0864 0.2958 0.4001  1 Co 2.45, 3 Cu 2.54-2.57, 3 Al 2.70-2.74
13 Al 0.9136 0.7042 0.4001  1 Co 2.45, 3 Cu 2.54-2.57, 3 Al 2.70-2.74
14 Al 0.2958 0.9136 0.4001  1 Co 2.45, 3 Cu 2.54-2.57, 3 Al 2.70-2.74
15 Al 0.7042 0.0864 0.5999  1 Co 2.45, 3 Cu 2.54-2.57, 3 Al 2.70-2.74
16 Al 0.0864 0.2958 0.5999  1 Co 2.45, 3 Cu 2.54-2.57, 3 Al 2.70-2.74
17 Al 0.9136 0.7042 0.5999  1 Co 2.45, 3 Cu 2.54-2.57, 3 Al 2.70-2.74
18 Al 0.2958 0.9136 0.5999  1 Co 2.45, 3 Cu 2.54-2.57, 3 Al 2.70-2.74
19 Al 0.5000 0.5000 0.6318  1 Co 2.45, 4 Cu 2.65
20 Al 0.3454 0.1546 0.7500  2 Co 2.48, 3 Al 2.70-2.75
21 Al 0.8454 0.3454 0.7500  2 Co 2.48, 3 Al 2.70-2.75
22 Al 0.1546 0.6546 0.7500  2 Co 2.48, 3 Al 2.70-2.75
23 Al 0.6546 0.8454 0.7500  2 Co 2.48, 3 Al 2.70-2.75
24 Al 0.0000 0.0000 0.8682  1 Co 2.45, 4 Cu 2.65
25 Al 0.5864 0.2042 0.9001  1 Co 2.45, 3 Cu 2.54-2.57, 3 Al 2.70-2.74
26 Al 0.2042 0.4136 0.9001  1 Co 2.45, 3 Cu 2.54-2.57, 3 Al 2.70-2.74
27 Al 0.7958 0.5864 0.9001  1 Co 2.45, 3 Cu 2.54-2.57, 3 Al 2.70-2.74
28 Al 0.4136 0.7958 0.9001  1 Co 2.45, 3 Cu 2.54-2.57, 3 Al 2.70-2.74
29 Co 0.5000 0.5000 0.2021  9 Al 2.45-2.48
30 Co 0.0000 0.0000 0.2979  9 Al 2.45-2.48
31 Co 0.0000 0.0000 0.7021  9 Al 2.45-2.48
32 Co 0.5000 0.5000 0.7979  9 Al 2.45-2.48
33 Cu 0.2720 0.0917 0.0000  8 Al 2.54-2.65, 2 Cu 2.55
34 Cu 0.9083 0.2720 0.0000  8 Al 2.54-2.65, 2 Cu 2.55
35 Cu 0.0917 0.7280 0.0000  8 Al 2.54-2.65, 2 Cu 2.55
36 Cu 0.7280 0.9083 0.0000  8 Al 2.54-2.65, 2 Cu 2.55
37 Cu 0.4083 0.2280 0.5000  8 Al 2.54-2.65, 2 Cu 2.55
38 Cu 0.7720 0.4083 0.5000  8 Al 2.54-2.65, 2 Cu 2.55
39 Cu 0.2280 0.5917 0.5000  8 Al 2.54-2.65, 2 Cu 2.55
40 Cu 0.5917 0.7720 0.5000  8 Al 2.54-2.65, 2 Cu 2.55

Computed properties:
V	14.6	Å³/atom
VASP energy	-4.35	eV per atom

Record 4
RbErPdS3 | PBE-GGA | relaxed

Lattice parameters (Å, degrees): 8.8582 4.0353 9.5942 90.00 109.16 90.00
With the nearest neighbours (Å) after each atom.
Atoms (fractional coordinates):
1 Er 0.6678 0.7500 0.1407  6 S 2.67-2.81
2 Er 0.3322 0.2500 0.8593  6 S 2.67-2.81
3 Pd 0.9080 0.2500 0.4165  4 S 2.34-2.54
4 Pd 0.0920 0.7500 0.5835  4 S 2.34-2.54
5 Rb 0.2063 0.7500 0.2338  7 S 3.32-3.63
6 Rb 0.7937 0.2500 0.7662  7 S 3.32-3.63
7 S 0.8789 0.2500 0.1487  1 Pd 2.50, 2 Er 2.74
8 S 0.4638 0.2500 0.1524  3 Er 2.67-2.74
9 S 0.7921 0.7500 0.4507  3 Pd 2.34-2.54
10 S 0.2079 0.2500 0.5493  3 Pd 2.34-2.54
11 S 0.5362 0.7500 0.8476  3 Er 2.67-2.74
12 S 0.1211 0.7500 0.8513  1 Pd 2.50, 2 Er 2.74

Computed properties:
energy above the most stable polymorph in this dataset	0.00	kcal/mol of atoms
V	27.0	Å³/atom

Record 5
MgGaTcTe | PBE-GGA | relaxed

Lattice parameters (Å, degrees): 4.6724 4.6724 4.6724 60.00 60.00 60.00
With the nearest neighbours (Å) after each atom.
Atoms (fractional coordinates):
1 Ga 0.0000 0.0000 0.0000  4 Mg 2.86, 4 Tc 2.86
2 Mg 0.7500 0.7500 0.7500  4 Ga 2.86, 4 Te 2.86
3 Tc 0.2500 0.2500 0.2500  4 Te 2.86, 4 Ga 2.86
4 Te 0.5000 0.5000 0.5000  4 Tc 2.86, 4 Mg 2.86

Computed properties:
energy above the most stable polymorph in this dataset	0.00	kcal/mol of atoms
V	18.0	Å³/atom

Record 6
Dy2Er2InCo2Ge4 | PBE-GGA | relaxed

Lattice parameters (Å, degrees): 7.9705 7.9705 7.0148 107.08 107.08 30.63
With the nearest neighbours (Å) after each atom.
Atoms (fractional coordinates):
1 Co 0.7803 0.7803 0.3713  4 Ge 2.40-2.45
2 Co 0.2197 0.2197 0.6287  4 Ge 2.40-2.45
3 Dy 0.3461 0.3461 0.0600  5 Ge 2.91-3.05, 1 Co 3.06
4 Dy 0.6539 0.6539 0.9400  5 Ge 2.91-3.05, 1 Co 3.06
5 Er 0.5913 0.5913 0.3913  6 Ge 2.92-3.16, 3 Co 2.95-3.02
6 Er 0.4087 0.4087 0.6087  6 Ge 2.92-3.16, 3 Co 2.95-3.02
7 Ge 0.2056 0.2056 0.2706  3 Co 2.40-2.45
8 Ge 0.9322 0.9322 0.3409  1 Co 2.41, 1 Ge 2.55
9 Ge 0.0678 0.0678 0.6591  1 Co 2.41, 1 Ge 2.55
10 Ge 0.7944 0.7944 0.7294  3 Co 2.40-2.45
11 In 0.0000 0.0000 0.0000  4 Ge 2.88-3.15

Computed properties:
V	19.7	Å³/atom
VASP energy	-5.61	eV per atom